Entry 1
Density functional theory data (PBE-GGA) for a relaxed RbCdHg crystal.

```
RbCdHg
1.0
0.0000 3.9797 3.9797
3.9797 0.0000 3.9797
3.9797 3.9797 0.0000
Rb Cd Hg
1 1 1
direct
0.0000 0.0000 0.0000
0.5000 0.5000 0.5000
0.7500 0.7500 0.7500
```

Results
space-group type: F-43m, No. 216



Entry 2
Density functional theory data (PBE-GGA) for a relaxed RbCdHg crystal.

```
RbCdHg
1.0
-2.6770 4.3042 4.5234
2.6770 -4.3042 4.5234
2.6770 4.3042 -4.5234
Rb Cd Hg
2 2 2
direct
0.0000 0.0000 0.0000
0.6158 0.1158 0.5000
0.0443 0.7225 0.3218
0.4006 0.7225 0.6782
0.2064 0.3955 0.8110
0.5845 0.3955 0.1890
```

Results
space-group type: Imm2, No. 44



Relative to the most stable one, in meV/atom, the structures come out at entry 1 117; entry 2 0.



Entry 1
Density functional theory data (PBE-GGA) for a relaxed CdSnHgS3 crystal.

```
CdSnHgS3
1.0
1.9406 -6.7314 0.0000
1.9406 6.7314 0.0000
0.0000 0.0000 11.9162
Cd Sn Hg S
2 2 2 6
direct
0.0162 0.9838 0.7500
0.9838 0.0162 0.2500
0.2903 0.7097 0.7500
0.7097 0.2903 0.2500
0.5000 0.5000 0.0000
0.5000 0.5000 0.5000
0.1125 0.8875 0.0906
0.1125 0.8875 0.4094
0.3597 0.6403 0.2500
0.6403 0.3597 0.7500
0.8875 0.1125 0.5906
0.8875 0.1125 0.9094
```

Results
space-group type: Cmcm, No. 63



Entry 2
Density functional theory data (PBE-GGA) for a relaxed CdSnHgS3 crystal.

```
CdSnHgS3
1.0
1.9521 -6.5942 0.0000
1.9521 6.5942 0.0000
0.0000 0.0000 11.2860
Cd Sn Hg S
2 2 2 6
direct
0.0000 0.0000 0.0000
0.0000 0.0000 0.5000
0.2367 0.7633 0.7500
0.7633 0.2367 0.2500
0.4796 0.5204 0.2500
0.5204 0.4796 0.7500
0.1163 0.8837 0.2500
0.3704 0.6296 0.0663
0.3704 0.6296 0.4337
0.6296 0.3704 0.5663
0.6296 0.3704 0.9337
0.8837 0.1163 0.7500
```

Results
space-group type: Cmcm, No. 63



Relative to the most stable one, in meV/atom, the structures come out at entry 1 0; entry 2 24.



Entry 1
Density functional theory data (PBE-GGA) for a relaxed Sc2CdHg2 crystal.

```
Sc2CdHg2
1.0
-2.2528 2.2528 6.2322
2.2528 -2.2528 6.2322
2.2528 2.2528 -6.2322
Sc Cd Hg
2 1 2
direct
0.2500 0.7500 0.5000
0.7500 0.2500 0.5000
0.0000 0.0000 0.0000
0.3920 0.3920 0.0000
0.6080 0.6080 0.0000
```

Results
space-group type: I4/mmm, No. 139



Entry 2
Density functional theory data (PBE-GGA) for a relaxed Sc2CdHg2 crystal.

```
Sc2CdHg2
1.0
-2.1423 2.1423 6.6605
2.1423 -2.1423 6.6605
2.1423 2.1423 -6.6605
Sc Cd Hg
2 1 2
direct
0.1051 0.1051 0.0000
0.8949 0.8949 0.0000
0.5000 0.5000 0.0000
0.2500 0.7500 0.5000
0.7500 0.2500 0.5000
```

Results
space-group type: I4/mmm, No. 139



Relative to the most stable one, in meV/atom, the structures come out at entry 1 0; entry 2 55.